An optimized crystal structure of La2Sm2Zn. Source: Alexandria, functional PBE.

Calculated values
**Calculated formation energy**: -0.030 eV per atom
**Energy above the most stable polymorph in this dataset**: 82 meV/atom

Cell: 8.4854 6.4873 9.0885 Å, 68.47 55.87 49.16°
Fractional positions:
Zn: 0.8635 0.2729 0.0000
Zn: 0.1365 0.7271 0.0000
Sm: 0.7419 0.0000 0.4114
Sm: 0.6034 0.0000 0.1193
Sm: 0.3966 0.0000 0.8807
Sm: 0.2581 0.0000 0.5886
La: 0.0429 0.6138 0.7290
La: 0.6567 0.3862 0.7290
La: 0.9571 0.3862 0.2710
La: 0.3433 0.6138 0.2710

An optimized crystal structure of TaNb14In. Source: Alexandria, functional PBE.

Calculated values
**Calculated formation energy**: -0.022 eV per atom

Cell: 6.6577 6.6577 6.6613 Å, 90.00 90.00 90.00°
Fractional positions:
Nb: 0.8750 0.8750 0.0000
Nb: 0.3750 0.8750 0.5000
Nb: 0.1306 0.1306 0.7562
Nb: 0.1306 0.1306 0.2438
Nb: 0.1306 0.6194 0.7563
Nb: 0.3750 0.3750 0.0000
Nb: 0.6194 0.1306 0.7563
Nb: 0.6194 0.1306 0.2437
Nb: 0.8750 0.3750 0.5000
Nb: 0.8750 0.3750 0.0000
Nb: 0.1306 0.6194 0.2437
Nb: 0.6194 0.6194 0.7562
Nb: 0.3750 0.8750 0.0000
Nb: 0.6194 0.6194 0.2438
Ta: 0.3750 0.3750 0.5000
In: 0.8750 0.8750 0.5000

An optimized crystal structure of CaLa2Sm. Source: Alexandria, functional PBE.

Calculated values
**Calculated formation energy**: 0.040 eV per atom
**Energy above the most stable polymorph in this dataset**: 12 meV/atom

Cell: 3.7108 3.7108 10.8484 Å, 90.00 90.00 90.00°
Fractional positions:
La: 0.0000 0.0000 0.7668
La: 0.0000 0.0000 0.2332
Ca: 0.5000 0.5000 0.5000
Sm: 0.5000 0.5000 0.0000

Question: Which of these has the lowest calculated formation energy?
Answer: La2Sm2Zn

Question: Among the records above, which one has the highest calculated formation energy?
Answer: CaLa2Sm

Question: Among the records above, which one has the highest calculated formation energy?
Answer: CaLa2Sm